No. 1
# KTbCdO3

A geometry-optimized KTbCdO3 structure (PBE, the Alexandria database).

Summary:
Its final energy is -34.28 eV per formula unit. As for the uncorrected formation energy: -2.13 eV/atom. Its crystal system is monoclinic.

Cell and atoms, written as CIF:
```
data_KTbCdO3
_cell_length_a 6.421
_cell_length_b 3.462
_cell_length_c 8.357
_cell_angle_alpha 90.00
_cell_angle_beta 91.00
_cell_angle_gamma 90.00
_symmetry_space_group_name_H-M 'P 1 21/m 1'
_symmetry_Int_Tables_number 11
loop_
_symmetry_equiv_pos_as_xyz
'x,y,z'
'-x,-y,-z'
'-x,y+1/2,-z'
'x,-y+1/2,z'
loop_
_atom_site_label
_atom_site_fract_x
_atom_site_fract_y
_atom_site_fract_z
K1 0.068 0.250 0.165
Tb1 0.430 0.250 0.823
Cd1 0.247 0.750 0.497
O1 0.134 0.250 0.652
O2 0.314 0.750 0.976
O3 0.420 0.250 0.331
```

---

No. 2
# Be2TeCl

A geometry-optimized Be2TeCl structure (PBE, the Alexandria database).

Summary:
Its final energy is -10.90 eV per formula unit. As for the uncorrected formation energy: 0.39 eV/atom. Its crystal system is orthorhombic.

Cell and atoms, written as CIF:
```
data_Be2TeCl
_cell_length_a 3.462
_cell_length_b 3.542
_cell_length_c 6.823
_cell_angle_alpha 90.00
_cell_angle_beta 90.00
_cell_angle_gamma 90.00
_symmetry_space_group_name_H-M 'P m m m'
_symmetry_Int_Tables_number 47
loop_
_symmetry_equiv_pos_as_xyz
'x,y,z'
'-x,-y,-z'
'-x,-y,z'
'x,y,-z'
'x,-y,-z'
'-x,y,z'
'-x,y,-z'
'x,-y,z'
loop_
_atom_site_label
_atom_site_fract_x
_atom_site_fract_y
_atom_site_fract_z
Be1 0.000 0.000 0.000
Be2 0.000 0.500 0.500
Te1 0.500 0.000 0.500
Cl1 0.500 0.500 0.000
```

---

No. 3
# La2PuBi3

A geometry-optimized La2PuBi3 structure (PBE, the Alexandria database).

Summary:
Its final energy is -40.57 eV per formula unit. The calculation puts the formation energy from the elements at -0.791 eV/atom. Its crystal system is tetragonal.

Cell and atoms, written as CIF:
```
data_La2PuBi3
_cell_length_a 4.661
_cell_length_b 4.661
_cell_length_c 19.747
_cell_angle_alpha 90.00
_cell_angle_beta 90.00
_cell_angle_gamma 90.00
_symmetry_space_group_name_H-M 'I 4/m m m'
_symmetry_Int_Tables_number 139
_symmetry_space_group_name_Hall '-I 4 2'
loop_
_atom_site_label
_atom_site_fract_x
_atom_site_fract_y
_atom_site_fract_z
La1 0.000 0.000 0.167
Pu1 0.000 0.000 0.500
Bi1 0.000 0.000 0.000
Bi2 0.000 0.000 0.336
```

---

No. 4
# CeNiBi2

A geometry-optimized CeNiBi2 structure (PBE, the Alexandria database).

Summary:
Its final energy is -18.96 eV per formula unit. The calculation puts the formation energy from the elements at 0.130 eV/atom. Its crystal system is trigonal.

Cell and atoms, written as CIF:
```
data_CeNiBi2
_cell_length_a 3.4671
_cell_length_b 3.4671
_cell_length_c 30.8453
_cell_angle_alpha 90.00
_cell_angle_beta 90.00
_cell_angle_gamma 120.00
_symmetry_space_group_name_H-M 'R -3 m'
_symmetry_Int_Tables_number 166
_symmetry_space_group_name_Hall '-R 3 2"'
loop_
_atom_site_label
_atom_site_fract_x
_atom_site_fract_y
_atom_site_fract_z
Ce1 0.0000 0.0000 0.0000
Ni1 0.0000 0.0000 0.5000
Bi1 0.0000 0.0000 0.1071
```